1.
VASP calculation (PBE) on a relaxed structure of PmInBr.

Its magnetization is 0.00 μB per formula unit. As for the polymorph energy (0 for the lowest one): 0 meV per atom. For the formation energy without anion corrections, the calculation gives -1.047 eV/atom.

It has space group R-3m (No. 166, hexagonal axes), with a = 4.5299 Å, b = 4.5299 Å, c = 33.6167 Å, α = 90.00°, β = 90.00° and γ = 120.00°. Symmetry generates all atoms from Pm at (0.0000, 0.0000, 0.0668), In at (0.0000, 0.0000, 0.3480) and Br at (0.0000, 0.0000, 0.2176).

2.
VASP calculation (PBE) on a relaxed structure of Pm2InBr.

Its magnetization is 0.01 μB per formula unit. As for the polymorph energy (0 for the lowest one): 0 meV per atom. For the formation energy without anion corrections, the calculation gives -0.772 eV/atom.

It has space group R3m (No. 160, hexagonal axes), with a = 3.8046 Å, b = 3.8046 Å, c = 27.8093 Å, α = 90.00°, β = 90.00° and γ = 120.00°. Symmetry generates all atoms from Pm at (0.0000, 0.0000, 0.0000), Pm at (0.0000, 0.0000, 0.1641), In at (0.0000, 0.0000, 0.5822) and Br at (0.0000, 0.0000, 0.7492).

3.
VASP calculation (PBE) on a relaxed structure of PmInBr.

Its magnetization is 0.00 μB per formula unit. As for the polymorph energy (0 for the lowest one): 149 meV per atom. For the formation energy without anion corrections, the calculation gives -0.898 eV/atom.

It has space group Cmcm (No. 63), with a = 4.759 Å, b = 21.066 Å, c = 4.304 Å, α = 90.00°, β = 90.00° and γ = 90.00°. Symmetry generates all atoms from Pm at (0.000, 0.085, 0.250), In at (0.000, 0.457, 0.250) and Br at (0.000, 0.180, 0.750).

4.
VASP calculation (PBE) on a relaxed structure of PmIn4Br7.

Its magnetization is 0.00 μB per formula unit. For the formation energy without anion corrections, the calculation gives -1.032 eV/atom.

It has space group C2/m (No. 12), with a = 21.704 Å, b = 5.625 Å, c = 7.907 Å, α = 90.00°, β = 107.65° and γ = 90.00°. Symmetry generates all atoms from Pm at (0.000, 0.000, 0.000), In at (0.084, 0.500, 0.634), In at (0.196, 0.500, 0.255), Br at (0.000, 0.500, 0.000), Br at (0.083, 0.000, 0.359), Br at (0.114, 0.000, 0.883) and Br at (0.223, 0.500, 0.660).